No. 1
# GGA-PBEsol CdCuAu2, relaxed
data_CdCuAu2
_chemical_formula_sum 'Cd1 Cu1 Au2'
_cell_length_a 4.008
_cell_length_b 4.008
_cell_length_c 4.027
_cell_angle_alpha 90.00
_cell_angle_beta 90.00
_cell_angle_gamma 90.00
_space_group_name_H-M_alt 'P 4/m m m'
_space_group_IT_number 123
_space_group_name_Hall '-P 4 2'
loop_
_atom_site_label
_atom_site_fract_x
_atom_site_fract_y
_atom_site_fract_z
_atom_site_occupancy
Cd1 0.000 0.000 0.000 1
Cu1 0.500 0.500 0.000 1
Au1 0.000 0.500 0.500 1
# total magnetization = 0.000 μB per atom
# ΔE_f = -0.08 eV/atom

---

No. 2
# GGA-PBEsol Cd2CuAu, relaxed
data_Cd2CuAu
_chemical_formula_sum 'Cd2 Cu1 Au1'
_cell_length_a 3.067
_cell_length_b 3.565
_cell_length_c 6.174
_cell_angle_alpha 90.00
_cell_angle_beta 90.00
_cell_angle_gamma 90.00
_space_group_name_H-M_alt 'P m m m'
_space_group_IT_number 47
_space_group_name_Hall '-P 2 2'
loop_
_atom_site_label
_atom_site_fract_x
_atom_site_fract_y
_atom_site_fract_z
_atom_site_occupancy
Cd1 0.000 0.000 0.234 1
Cu1 0.500 0.500 0.000 1
Au1 0.500 0.500 0.500 1
# total magnetization = 0.000 μB per atom
# ΔE_f = -0.05 eV/atom

---

No. 3
# GGA-PBEsol CdCuAu2, relaxed
data_CdCuAu2
_chemical_formula_sum 'Cd2 Cu2 Au4'
_cell_length_a 9.501
_cell_length_b 2.976
_cell_length_c 4.755
_cell_angle_alpha 90.00
_cell_angle_beta 104.64
_cell_angle_gamma 90.00
_space_group_name_H-M_alt 'C 1 m 1'
_space_group_IT_number 8
_space_group_name_Hall 'C -2y'
loop_
_atom_site_label
_atom_site_fract_x
_atom_site_fract_y
_atom_site_fract_z
_atom_site_occupancy
Cd1 0.000 0.000 0.000 1
Cu1 0.257 0.000 0.736 1
Au1 0.021 0.500 0.520 1
Au2 0.260 0.500 0.245 1
# total magnetization = 0.000 μB per atom
# ΔE_f = -0.05 eV/atom

---

No. 4
# GGA-PBEsol CdCuAu2, relaxed
data_CdCuAu2
_chemical_formula_sum 'Cd2 Cu2 Au4'
_cell_length_a 9.495
_cell_length_b 3.007
_cell_length_c 4.768
_cell_angle_alpha 90.00
_cell_angle_beta 106.65
_cell_angle_gamma 90.00
_space_group_name_H-M_alt 'C 1 2/m 1'
_space_group_IT_number 12
_space_group_name_Hall '-C 2y'
loop_
_atom_site_label
_atom_site_fract_x
_atom_site_fract_y
_atom_site_fract_z
_atom_site_occupancy
Cd1 0.000 0.000 0.000 1
Cu1 0.000 0.500 0.500 1
Au1 0.234 0.000 0.736 1
# total magnetization = 0.000 μB per atom
# ΔE_f = -0.05 eV/atom

---

No. 5
# GGA-PBEsol Cd2CuAu, relaxed
data_Cd2CuAu
_chemical_formula_sum 'Cd4 Cu2 Au2'
_cell_length_a 10.002
_cell_length_b 3.135
_cell_length_c 4.674
_cell_angle_alpha 90.00
_cell_angle_beta 111.46
_cell_angle_gamma 90.00
_space_group_name_H-M_alt 'C 1 m 1'
_space_group_IT_number 8
_space_group_name_Hall 'C -2y'
loop_
_atom_site_label
_atom_site_fract_x
_atom_site_fract_y
_atom_site_fract_z
_atom_site_occupancy
Cd1 0.000 0.000 0.000 1
Cd2 0.219 0.000 0.668 1
Cu1 0.479 0.000 0.494 1
Au1 0.262 0.500 0.203 1
# total magnetization = 0.000 μB per atom
# ΔE_f = -0.05 eV/atom

---

No. 6
# GGA-PBEsol Cd2CuAu, relaxed
data_Cd2CuAu
_chemical_formula_sum 'Cd4 Cu2 Au2'
_cell_length_a 4.279
_cell_length_b 4.279
_cell_length_c 7.405
_cell_angle_alpha 90.00
_cell_angle_beta 90.00
_cell_angle_gamma 90.00
_space_group_name_H-M_alt 'I 4/m m m'
_space_group_IT_number 139
_space_group_name_Hall '-I 4 2'
loop_
_atom_site_label
_atom_site_fract_x
_atom_site_fract_y
_atom_site_fract_z
_atom_site_occupancy
Cd1 0.000 0.500 0.250 1
Cu1 0.000 0.000 0.000 1
Au1 0.000 0.000 0.500 1
# total magnetization = 0.000 μB per atom
# ΔE_f = -0.06 eV/atom

---

No. 7
# GGA-PBEsol CdCuAu2, relaxed
data_CdCuAu2
_chemical_formula_sum 'Cd4 Cu4 Au8'
_cell_length_a 6.391
_cell_length_b 6.391
_cell_length_c 6.391
_cell_angle_alpha 90.00
_cell_angle_beta 90.00
_cell_angle_gamma 90.00
_space_group_name_H-M_alt 'F -4 3 m'
_space_group_IT_number 216
_space_group_name_Hall 'F -4 2 3'
loop_
_atom_site_label
_atom_site_fract_x
_atom_site_fract_y
_atom_site_fract_z
_atom_site_occupancy
Cd1 0.000 0.000 0.000 1
Cu1 0.250 0.250 0.250 1
Au1 0.000 0.000 0.500 1
Au2 0.250 0.250 0.750 1
# total magnetization = 0.000 μB per atom
# ΔE_f = -0.04 eV/atom

---

No. 8
# GGA-PBEsol Cd2CuAu, relaxed
data_Cd2CuAu
_chemical_formula_sum 'Cd2 Cu1 Au1'
_cell_length_a 3.128
_cell_length_b 3.128
_cell_length_c 6.874
_cell_angle_alpha 90.00
_cell_angle_beta 90.00
_cell_angle_gamma 90.00
_space_group_name_H-M_alt 'P 4/m m m'
_space_group_IT_number 123
_space_group_name_Hall '-P 4 2'
loop_
_atom_site_label
_atom_site_fract_x
_atom_site_fract_y
_atom_site_fract_z
_atom_site_occupancy
Cd1 0.000 0.000 0.231 1
Cu1 0.500 0.500 0.000 1
Au1 0.500 0.500 0.500 1
# total magnetization = 0.000 μB per atom
# ΔE_f = -0.05 eV/atom

---

No. 9
# GGA-PBEsol Cd2CuAu, relaxed
data_Cd2CuAu
_chemical_formula_sum 'Cd2 Cu1 Au1'
_cell_length_a 2.918
_cell_length_b 4.356
_cell_length_c 5.556
_cell_angle_alpha 90.00
_cell_angle_beta 103.94
_cell_angle_gamma 90.00
_space_group_name_H-M_alt 'P 1 m 1'
_space_group_IT_number 6
_space_group_name_Hall 'P -2y'
loop_
_atom_site_label
_atom_site_fract_x
_atom_site_fract_y
_atom_site_fract_z
_atom_site_occupancy
Cd1 0.000 0.000 0.000 1
Cd2 0.324 0.500 0.676 1
Cu1 0.589 0.500 0.188 1
Au1 0.723 0.000 0.463 1
# total magnetization = 0.000 μB per atom
# ΔE_f = -0.05 eV/atom

---

No. 10
# GGA-PBEsol Cd2CuAu, relaxed
data_Cd2CuAu
_chemical_formula_sum 'Cd4 Cu2 Au2'
_cell_length_a 4.020
_cell_length_b 4.020
_cell_length_c 8.358
_cell_angle_alpha 90.00
_cell_angle_beta 90.00
_cell_angle_gamma 90.00
_space_group_name_H-M_alt 'I -4 m 2'
_space_group_IT_number 119
_space_group_name_Hall 'I -4 -2'
loop_
_atom_site_label
_atom_site_fract_x
_atom_site_fract_y
_atom_site_fract_z
_atom_site_occupancy
Cd1 0.000 0.000 0.000 1
Cd2 0.000 0.500 0.250 1
Cu1 0.000 0.000 0.500 1
Au1 0.000 0.500 0.750 1
# total magnetization = 0.000 μB per atom
# ΔE_f = -0.06 eV/atom

---

No. 11
# GGA-PBEsol CdCuAu2, relaxed
data_CdCuAu2
_chemical_formula_sum 'Cd1 Cu1 Au2'
_cell_length_a 3.203
_cell_length_b 3.203
_cell_length_c 6.329
_cell_angle_alpha 90.00
_cell_angle_beta 90.00
_cell_angle_gamma 90.00
_space_group_name_H-M_alt 'P 4 m m'
_space_group_IT_number 99
_space_group_name_Hall 'P 4 -2'
loop_
_atom_site_label
_atom_site_fract_x
_atom_site_fract_y
_atom_site_fract_z
_atom_site_occupancy
Cd1 0.000 0.000 0.000 1
Cu1 0.500 0.500 0.246 1
Au1 0.000 0.000 0.456 1
Au2 0.500 0.500 0.729 1
# total magnetization = 0.000 μB per atom
# ΔE_f = -0.05 eV/atom

---

No. 12
# GGA-PBEsol CdCuAu2, relaxed
data_CdCuAu2
_chemical_formula_sum 'Cd1 Cu1 Au2'
_cell_length_a 3.024
_cell_length_b 3.123
_cell_length_c 6.851
_cell_angle_alpha 90.00
_cell_angle_beta 90.00
_cell_angle_gamma 90.00
_space_group_name_H-M_alt 'P m m m'
_space_group_IT_number 47
_space_group_name_Hall '-P 2 2'
loop_
_atom_site_label
_atom_site_fract_x
_atom_site_fract_y
_atom_site_fract_z
_atom_site_occupancy
Cd1 0.000 0.000 0.000 1
Cu1 0.000 0.000 0.500 1
Au1 0.500 0.500 0.280 1
# total magnetization = 0.000 μB per atom
# ΔE_f = -0.11 eV/atom